Compound: SrNiAsS2
Source: the Alexandria database
Functional: PBE
Structure: optimized geometry

The formation energy without anion corrections is -0.49 eV/f.u. For the total energy, the calculation gives -20.853 eV/cell. For the volume, the calculation gives 108.7 Å³/cell. As for the space group: No. 123.

Cell lengths 4.443, 4.443, 5.504 Å; angles 90.00, 90.00, 90.00 degrees
Positions (direct):
Sr: 0.000 0.000 0.000
Ni: 0.000 0.000 0.500
As: 0.500 0.500 0.000
S: 0.000 0.500 0.500
S: 0.500 0.000 0.500